Record 1
An optimized crystal structure of Ba3In3N5, computed with PBE-GGA.

Unit cell a=6.6258 b=7.8705 c=9.5974 alpha=108.11 beta=104.12 gamma=95.07
Closest atoms and distances in Å follow each position.
Fractional positions:
Ba: 0.6573 0.6475 0.1993  4 N 2.79-2.99
N: 0.7621 0.5305 0.9020  2 In 2.24-2.27
In: 0.1321 0.8726 0.7183  4 N 2.17-2.28
In: 0.0944 0.6891 0.0302  4 N 2.17-2.27
N: 0.9671 0.1088 0.7748  3 In 2.20-2.23
N: 0.1460 0.2962 0.4824  2 In 2.20-2.26
Ba: 0.3375 0.1370 0.1261  4 N 2.65-2.89
N: 0.3978 0.9379 0.6200  3 In 2.19-2.31
In: 0.8679 0.1274 0.2817  4 N 2.17-2.28
N: 0.2823 0.7808 0.9025  2 In 2.17
In: 0.2837 0.0474 0.4372  4 N 2.19-2.31
N: 0.2379 0.4695 0.0980  2 In 2.24-2.27
N: 0.8540 0.7038 0.5176  2 In 2.20-2.26
Ba: 0.6625 0.8630 0.8739  4 N 2.65-2.89
N: 0.7177 0.2192 0.0975  2 In 2.17
Ba: 0.1882 0.5864 0.3920  4 N 2.70-2.91
N: 0.0329 0.8912 0.2252  3 In 2.20-2.23
Ba: 0.8118 0.4136 0.6080  4 N 2.70-2.91
In: 0.7163 0.9526 0.5628  4 N 2.19-2.31
N: 0.6022 0.0621 0.3800  3 In 2.19-2.31
Ba: 0.3427 0.3525 0.8007  4 N 2.79-2.99
In: 0.9056 0.3109 0.9698  4 N 2.17-2.27

As for the total energy: -115.3 eV for the cell shown. The value obtained for the uncorrected formation energy is -186 meV per atom. The volume comes out at 20.6 Å³/atom. As for the crystal system: triclinic.

=====

Record 2
An optimized crystal structure of TaSi2Pt, computed with PBE-GGA.

Unit cell a=8.2499 b=8.2499 c=8.2499 alpha=20.80 beta=20.80 gamma=20.80
Closest atoms and distances in Å follow each position.
Fractional positions:
Ta: 0.4971 0.4971 0.4971  3 Si 2.71, 3 Pt 2.87, 6 Ta 2.98
Si: 0.0005 0.0005 0.0005  3 Pt 2.50, 3 Si 2.53
Pt: 0.2586 0.2586 0.2586  3 Si 2.50
Si: 0.7439 0.7439 0.7439  3 Si 2.53, 3 Ta 2.71

As for the total energy: -29.6 eV for the cell shown. The value obtained for the density of states at the Fermi level is 2.01 states/eV/f.u. The value obtained for the uncorrected formation energy is -205 meV per atom. The volume comes out at 15.5 Å³/atom. As for the crystal system: trigonal.

=====

Record 3
An optimized crystal structure of Sm4TaN5, computed with PBE-GGA.

Unit cell a=5.0610 b=6.0243 c=6.0243 alpha=79.84 beta=65.16 gamma=65.16
Closest atoms and distances in Å follow each position.
Fractional positions:
Sm: 0.6060 0.5935 0.1987  5 N 2.43-2.56
N: 0.0943 0.6418 0.1778  1 Ta 2.20, 2 Sm 2.43
N: 0.2720 0.8222 0.6418  1 Ta 2.20, 2 Sm 2.43
N: 0.7361 0.1778 0.3582  1 Ta 2.20, 2 Sm 2.43
N: 0.9138 0.3582 0.8222  1 Ta 2.20, 2 Sm 2.43
Ta: 0.0506 0.0000 0.0000  1 N 1.94
Sm: 0.3983 0.4065 0.8013  5 N 2.43-2.56
Sm: 0.8048 0.8013 0.5935  5 N 2.43-2.56
N: 0.4349 0.0000 0.0000  1 Ta 1.94
Sm: 0.1995 0.1987 0.4065  5 N 2.43-2.56

As for the total energy: -86.4 eV for the cell shown. The value obtained for the density of states at the Fermi level is 2.99 states/eV/f.u. The value obtained for the uncorrected formation energy is -1403 meV per atom. The volume comes out at 15.1 Å³/atom. As for the crystal system: tetragonal.

=====

Record 4
An optimized crystal structure of K3AsPt, computed with PBE-GGA.

Unit cell a=8.2939 b=8.2939 c=7.4881 alpha=111.93 beta=118.26 gamma=103.61
Closest atoms and distances in Å follow each position.
Fractional positions:
K: 0.1615 0.4168 0.1706  2 Pt 3.29-3.52, 2 K 3.66-3.67
K: 0.8385 0.5832 0.8294  2 Pt 3.29-3.52, 2 K 3.66-3.67
As: 0.3025 0.0800 0.3826  2 Pt 2.42-2.43
K: 0.2721 0.4501 0.7222  1 As 3.33, 1 Pt 3.38, 3 K 3.65-3.66
K: 0.7538 0.0091 0.1706  2 Pt 3.29-3.52, 2 K 3.66-3.67
K: 0.7279 0.5499 0.2778  1 As 3.33, 1 Pt 3.38, 3 K 3.65-3.66
Pt: 0.6035 0.1648 0.7682  2 As 2.42-2.43
As: 0.6975 0.9200 0.6174  2 Pt 2.42-2.43
Pt: 0.3965 0.8352 0.2318  2 As 2.42-2.43
K: 0.2462 0.9909 0.8294  2 Pt 3.29-3.52, 2 K 3.66-3.67

As for the total energy: -29.9 eV for the cell shown. As for the formation energy: -0.189 eV per atom. The value obtained for the density of states at the Fermi level is 1.97 states/eV/f.u. The volume comes out at 36.3 Å³/atom. As for the crystal system: monoclinic. For the relative energy among the computed polymorphs, the calculation gives 0.110 eV/atom.

=====

Record 5
An optimized crystal structure of ZrZnMo4, computed with PBE-GGA.

Unit cell a=5.3049 b=5.3049 c=5.3049 alpha=60.00 beta=60.00 gamma=60.00
Closest atoms and distances in Å follow each position.
Fractional positions:
Mo: 0.8720 0.3760 0.3760  6 Mo 2.63-2.67
Mo: 0.3760 0.3760 0.3760  6 Mo 2.63-2.67
Mo: 0.3760 0.8720 0.3760  6 Mo 2.63-2.67
Mo: 0.3760 0.3760 0.8720  6 Mo 2.63-2.67
Zn: 0.7500 0.7500 0.7500  12 Mo 3.11, 4 Zr 3.25
Zr: 0.0000 0.0000 0.0000  12 Mo 3.11, 4 Zn 3.25

As for the total energy: -52.1 eV for the cell shown. As for the formation energy: 0.172 eV per atom. The value obtained for the density of states at the Fermi level is 6.97 states/eV/f.u. The volume comes out at 17.6 Å³/atom. As for the crystal system: cubic.

=====

Record 6
An optimized crystal structure of Li4Y, computed with PBE-GGA.

Unit cell a=5.7406 b=5.7406 c=5.7406 alpha=90.00 beta=90.00 gamma=90.00
Closest atoms and distances in Å follow each position.
Fractional positions:
Li: 0.0000 0.0000 0.0000  12 Li 4.06
Li: 0.5000 0.5000 0.0000  2 Y 2.87
Li: 0.5000 0.0000 0.5000  2 Y 2.87
Y: 0.5000 0.5000 0.5000  6 Li 2.87
Li: 0.0000 0.5000 0.5000  2 Y 2.87

As for the total energy: -9.4 eV for the cell shown. As for the formation energy: 0.941 eV per atom. The value obtained for the density of states at the Fermi level is 7.04 states/eV/f.u. The volume comes out at 37.8 Å³/atom. As for the crystal system: cubic. For the relative energy among the computed polymorphs, the calculation gives 0.780 eV/atom.

=====

Record 7
An optimized crystal structure of KLi2CuBi, computed with PBE-GGA.

Unit cell a=4.9220 b=6.0514 c=4.9220 alpha=90.00 beta=90.00 gamma=90.00
Closest atoms and distances in Å follow each position.
Fractional positions:
Bi: 0.0000 0.5000 0.0000  2 K 3.03
K: 0.0000 0.0000 0.0000  4 Li 2.46
Li: 0.5000 0.0000 0.0000  2 K 2.46
Li: 0.0000 0.0000 0.5000  2 K 2.46
Cu: 0.5000 0.5000 0.5000  4 Bi 3.48

As for the total energy: -8.0 eV for the cell shown. As for the formation energy: 0.976 eV per atom. The value obtained for the density of states at the Fermi level is 2.72 states/eV/f.u. The volume comes out at 29.3 Å³/atom. As for the crystal system: tetragonal.

=====

Record 8
An optimized crystal structure of RbMo2CI, computed with PBE-GGA.

Unit cell a=5.1429 b=6.7141 c=5.1429 alpha=90.00 beta=90.00 gamma=90.00
Closest atoms and distances in Å follow each position.
Fractional positions:
Mo: 0.5000 0.0000 0.0000  2 I 2.57
C: 0.5000 0.5000 0.5000  4 Rb 3.64
Rb: 0.0000 0.5000 0.0000  2 I 3.36, 4 C 3.64
I: 0.0000 0.0000 0.0000  4 Mo 2.57
Mo: 0.0000 0.0000 0.5000  2 I 2.57

As for the total energy: -18.5 eV for the cell shown. The value obtained for the density of states at the Fermi level is 11.35 states/eV/f.u. The value obtained for the uncorrected formation energy is 2978 meV per atom. The volume comes out at 35.5 Å³/atom. As for the crystal system: tetragonal. For the relative energy among the computed polymorphs, the calculation gives 0.380 eV/atom.

=====

Record 9
An optimized crystal structure of ThGa3CoRu, computed with PBE-GGA.

Unit cell a=6.0957 b=7.5984 c=6.2987 alpha=127.10 beta=90.00 gamma=90.00
Closest atoms and distances in Å follow each position.
Fractional positions:
Ru: 0.2500 0.4799 0.9597  5 Ga 2.43-2.50, 1 Th 2.69
Ga: 0.2500 0.2379 0.4758  1 Co 2.31, 1 Ru 2.43
Ga: 0.5000 0.7599 0.0000  2 Co 2.38, 2 Ru 2.50
Ga: 0.7500 0.7621 0.5242  1 Co 2.31, 1 Ru 2.43
Th: 0.2500 0.7474 0.4948  1 Co 2.62, 1 Ru 2.69
Ga: 0.0000 0.7599 0.0000  2 Co 2.38, 2 Ru 2.50
Ga: 0.5000 0.2401 0.0000  2 Co 2.38, 2 Ru 2.50
Co: 0.2500 0.0081 0.0162  5 Ga 2.31-2.38
Th: 0.7500 0.2526 0.5052  1 Co 2.62, 1 Ru 2.69
Co: 0.7500 0.9919 0.9838  5 Ga 2.31-2.38
Ga: 0.0000 0.2401 0.0000  2 Co 2.38, 2 Ru 2.50
Ru: 0.7500 0.5201 0.0403  5 Ga 2.43-2.50, 1 Th 2.69

As for the total energy: -68.8 eV for the cell shown. As for the formation energy: -0.255 eV per atom. The value obtained for the density of states at the Fermi level is 4.65 states/eV/f.u. The volume comes out at 19.4 Å³/atom. As for the crystal system: orthorhombic.

=====

Record 10
An optimized crystal structure of ZnAsBr, computed with PBE-GGA.

Unit cell a=3.9468 b=3.7548 c=13.4541 alpha=105.31 beta=90.00 gamma=121.71
Closest atoms and distances in Å follow each position.
Fractional positions:
As: 0.6974 0.3949 0.5553  3 As 2.50-2.68, 1 Zn 2.52
Zn: 0.3764 0.7529 0.2716  1 As 2.52, 3 Br 2.60-2.73
Zn: 0.6236 0.2471 0.7284  1 As 2.52, 3 Br 2.60-2.73
As: 0.3026 0.6051 0.4447  3 As 2.50-2.68, 1 Zn 2.52
Br: 0.9394 0.8788 0.1585  3 Zn 2.60-2.73
Br: 0.0606 0.1212 0.8415  3 Zn 2.60-2.73

As for the total energy: -16.7 eV for the cell shown. The value obtained for the density of states at the Fermi level is 0.56 states/eV/f.u. The value obtained for the uncorrected formation energy is -245 meV per atom. The volume comes out at 26.9 Å³/atom. As for the crystal system: monoclinic. For the relative energy among the computed polymorphs, the calculation gives 0.000 eV/atom.

=====

Record 11
An optimized crystal structure of BaAl2Pt, computed with PBE-GGA.

Unit cell a=3.3353 b=3.3353 c=7.9902 alpha=90.00 beta=90.00 gamma=90.00
Closest atoms and distances in Å follow each position.
Fractional positions:
Al: 0.0000 0.0000 0.5809  1 Al 2.70, 4 Pt 2.72
Ba: 0.5000 0.5000 0.2500  4 Ba 3.34, 8 Al 3.54
Pt: 0.5000 0.5000 0.7500  8 Al 2.72
Al: 0.0000 0.0000 0.9191  1 Al 2.70, 4 Pt 2.72

As for the total energy: -17.2 eV for the cell shown. As for the formation energy: -0.432 eV per atom. The value obtained for the density of states at the Fermi level is 2.40 states/eV/f.u. The volume comes out at 22.2 Å³/atom. As for the crystal system: tetragonal.

=====

Record 12
An optimized crystal structure of Ac2AlZn, computed with PBE-GGA.

Unit cell a=3.9058 b=3.9058 c=7.9444 alpha=90.00 beta=90.00 gamma=90.00
Closest atoms and distances in Å follow each position.
Fractional positions:
Zn: 0.5000 0.5000 0.0000  8 Ac 3.40
Ac: 0.0000 0.0000 0.2495  4 Zn 3.40, 4 Al 3.40
Ac: 0.0000 0.0000 0.7505  4 Zn 3.40, 4 Al 3.40
Al: 0.5000 0.5000 0.5000  8 Ac 3.40

As for the total energy: -14.2 eV for the cell shown. As for the formation energy: -0.233 eV per atom. The value obtained for the density of states at the Fermi level is 3.35 states/eV/f.u. The volume comes out at 30.3 Å³/atom. As for the crystal system: tetragonal.